Record 1
Density functional theory data (GGA-PBEsol) for a geometry-optimized GeTeI2O structure.

## Properties
* calculated volume: 126.2 Å³/cell
* formation energy without anion corrections: -106 meV/atom
* density: 6.18 g cm⁻³

abc: 5.8515 5.8515 3.6870
angles: 90.00 90.00 90.00
Last column: nearest neighbours and their distance in Å.
Space group P4/mmm (No. 123)
Unique sites:
Ge1 0.0000 0.0000 0.0000 x1  2 O 1.84
Te1 0.5000 0.5000 0.5000 x1  8 I 3.46, 2 Te 3.69
I1 0.0000 0.5000 0.0000 x2  2 Ge 2.93
O1 0.0000 0.0000 0.5000 x1  2 Ge 1.84

Record 2
Density functional theory data (GGA-PBEsol) for a geometry-optimized LiCa3C structure.

## Properties
* calculated volume: 133.5 Å³/cell
* energy of formation from the pure elements: 0.17 eV/atom
* density: 1.73 g cm⁻³

abc: 5.1105 5.1105 5.1105
angles: 90.00 90.00 90.00
Last column: nearest neighbours and their distance in Å.
Space group Pm-3m (No. 221)
Unique sites:
Li1 0.0000 0.0000 0.0000 x1  12 Ca 3.61
Ca1 0.0000 0.5000 0.5000 x3  2 C 2.56
C1 0.5000 0.5000 0.5000 x1  6 Ca 2.56

Record 3
Density functional theory data (GGA-PBEsol) for a geometry-optimized BiSbO3 structure.

## Properties
* calculated volume: 80.0 Å³/cell
* formation energy without anion corrections: -404 meV/atom
* density: 7.86 g cm⁻³

abc: 4.3082 4.3082 4.3082
angles: 90.00 90.00 90.00
Last column: nearest neighbours and their distance in Å.
Space group Pm-3m (No. 221)
Unique sites:
Bi1 0.0000 0.0000 0.0000 x1  6 O 2.15
Sb1 0.5000 0.5000 0.5000 x1  12 O 3.05
O1 0.0000 0.0000 0.5000 x3  2 Bi 2.15

Record 4
Density functional theory data (GGA-PBEsol) for a geometry-optimized Sr2P structure.

## Properties
* calculated volume: 371.9 Å³/cell
* energy of formation from the pure elements: -0.84 eV/atom
* density: 3.68 g cm⁻³

abc: 7.1916 7.1916 7.1916
angles: 90.00 90.00 90.00
Last column: nearest neighbours and their distance in Å.
Space group Fm-3m (No. 225)
Unique sites:
Sr1 0.2500 0.2500 0.2500 x8  4 P 3.11
P1 0.0000 0.0000 0.0000 x4  8 Sr 3.11

Record 5
Density functional theory data (GGA-PBEsol) for a geometry-optimized CaTaSb2 structure.

## Properties
* calculated volume: 98.8 Å³/cell
* formation energy without anion corrections: -41 meV/atom
* density: 7.81 g cm⁻³

abc: 3.7111 3.7111 7.1718
angles: 90.00 90.00 90.00
Last column: nearest neighbours and their distance in Å.
Space group P4mm (No. 99)
Unique sites:
Ca1 0.0000 0.0000 0.0000 x1  5 Sb 3.20-3.24, 4 Ta 3.53
Ta1 0.5000 0.5000 0.6704 x1  5 Sb 2.75-2.91
Sb1 0.0000 0.0000 0.5543 x1  4 Ta 2.75
Sb2 0.5000 0.5000 0.2647 x1  1 Ta 2.91, 4 Ca 3.24

Record 6
Density functional theory data (GGA-PBEsol) for a geometry-optimized ZnAgBr2 structure.

## Properties
* calculated volume: 283.2 Å³/cell
* formation energy without anion corrections: -213 meV/atom
* density: 5.86 g cm⁻³

abc: 3.7508 3.7508 23.2446
angles: 90.00 90.00 120.00
Last column: nearest neighbours and their distance in Å.
Space group R3m (No. 160, hexagonal axes)
Unique sites:
Zn1 0.0000 0.0000 0.0000 x3  3 Br 2.60, 3 Ag 2.72
Ag1 0.0000 0.0000 0.7377 x3  3 Br 2.67, 3 Zn 2.72
Br1 0.0000 0.0000 0.2714 x3  3 Zn 2.60
Br2 0.0000 0.0000 0.4717 x3  3 Ag 2.67